Record 1
The following is a PBE with a Hubbard U calculation of a relaxed structure of SrNbCo2F, from the Alexandria database.

POSCAR file:
```
SrNbCo2F
1.0
-1.686 -0.256 4.313
-2.082 -3.837 -1.042
3.747 -2.392 1.322
Co Nb Sr F
2 1 1 1
Direct
0.500 0.000 0.000
0.000 0.000 0.500
0.500 0.500 0.500
0.000 0.500 0.000
0.000 0.000 0.000
```

## Properties
- magnetization (Bohr magnetons per cell) = 6.2
- final energy (eV per atom) = -4.47

Record 2
The following is a PBE with a Hubbard U calculation of a relaxed structure of NbCo2TcF, from the Alexandria database.

POSCAR file:
```
NbCo2TcF
1.0
4.681 0.000 0.000
0.000 4.683 0.000
0.000 0.000 4.681
F Tc Co Nb
1 1 2 1
Direct
0.500 0.500 0.500
0.000 0.000 0.000
0.500 0.000 0.000
0.000 0.000 0.500
0.000 0.500 0.000
```

## Properties
- magnetization (Bohr magnetons per cell) = 4.2
- final energy (eV per atom) = -5.37

Record 3
The following is a PBE with a Hubbard U calculation of a relaxed structure of NbTlCo2F, from the Alexandria database.

POSCAR file:
```
NbTlCo2F
1.0
5.008 0.000 0.000
0.000 4.429 0.000
0.000 0.000 5.008
Nb Co F Tl
1 2 1 1
Direct
0.500 0.500 0.500
0.000 0.000 0.500
0.500 0.000 0.000
0.000 0.500 0.000
0.000 0.000 0.000
```

## Properties
- magnetization (Bohr magnetons per cell) = 0.7
- final energy (eV per atom) = -3.85

Record 4
The following is a PBE with a Hubbard U calculation of a relaxed structure of NdCoF6, from the Alexandria database.

POSCAR file:
```
NdCoF6
1.0
5.045 0.000 0.000
0.000 4.620 -2.667
0.000 0.000 5.334
F Nd Co
6 1 1
Direct
0.227 0.680 0.632
0.773 0.680 0.048
0.773 0.368 0.320
0.773 0.952 0.632
0.227 0.368 0.048
0.227 0.952 0.320
0.500 0.000 0.000
0.000 0.667 0.333
```

## Properties
- magnetization (Bohr magnetons per cell) = 4.0
- final energy (eV per atom) = -5.53

Record 5
The following is a PBE with a Hubbard U calculation of a relaxed structure of NdCoF5, from the Alexandria database.

POSCAR file:
```
NdCoF5
1.0
-1.429 5.579 0.334
-4.069 0.517 4.057
3.102 3.155 6.490
F Nd Co
10 2 2
Direct
0.215 0.254 0.879
0.301 0.683 0.467
0.746 0.785 0.621
0.900 0.100 0.250
0.699 0.317 0.533
0.785 0.746 0.121
0.254 0.215 0.379
0.317 0.699 0.033
0.100 0.900 0.750
0.683 0.301 0.967
0.444 0.556 0.750
0.556 0.444 0.250
0.000 0.000 0.500
0.000 0.000 0.000
```

## Properties
- magnetization (Bohr magnetons per cell) = 6.0
- final energy (eV per atom) = -5.96

Record 6
The following is a PBE with a Hubbard U calculation of a relaxed structure of Rb2NdCoF6, from the Alexandria database.

POSCAR file:
```
Rb2NdCoF6
1.0
-6.512 -3.298 1.694
-0.877 -5.942 -3.828
-1.931 -6.412 2.136
Rb F Nd Co
2 6 1 1
Direct
0.708 0.236 0.525
0.292 0.764 0.475
0.297 0.827 0.005
0.729 0.700 0.447
0.236 0.329 0.070
0.764 0.671 0.930
0.703 0.173 0.995
0.271 0.300 0.553
0.500 0.500 0.000
0.000 0.000 0.000
```

## Properties
- magnetization (Bohr magnetons per cell) = 2.0
- final energy (eV per atom) = -5.18

Record 7
The following is a PBE with a Hubbard U calculation of a relaxed structure of Rb2NdCo3F12, from the Alexandria database.

POSCAR file:
```
Rb2NdCo3F12
1.0
7.177 -0.226 -0.160
3.348 6.352 -0.160
3.348 1.949 6.048
F Co Nd Rb
12 3 1 2
Direct
0.901 0.275 0.275
0.725 0.099 0.725
0.119 0.612 0.119
0.881 0.388 0.881
0.612 0.119 0.119
0.275 0.275 0.901
0.099 0.725 0.725
0.881 0.881 0.388
0.388 0.881 0.881
0.725 0.725 0.099
0.119 0.119 0.612
0.275 0.901 0.275
0.000 0.000 0.500
0.500 0.000 0.000
0.000 0.500 0.000
0.000 0.000 0.000
0.613 0.613 0.613
0.387 0.387 0.387
```

## Properties
- magnetization (Bohr magnetons per cell) = 10.0
- final energy (eV per atom) = -5.14

Record 8
The following is a PBE with a Hubbard U calculation of a relaxed structure of NdTl2Co3F12, from the Alexandria database.

POSCAR file:
```
NdTl2Co3F12
1.0
6.977 -0.372 -0.264
3.122 6.251 -0.264
3.122 1.817 5.986
F Tl Co Nd
12 2 3 1
Direct
0.868 0.400 0.868
0.260 0.903 0.260
0.132 0.132 0.600
0.903 0.260 0.260
0.868 0.868 0.400
0.740 0.097 0.740
0.400 0.868 0.868
0.260 0.260 0.903
0.097 0.740 0.740
0.132 0.600 0.132
0.600 0.132 0.132
0.740 0.740 0.097
0.387 0.387 0.387
0.613 0.613 0.613
0.000 0.500 0.000
0.500 0.000 0.000
0.000 0.000 0.500
0.000 0.000 0.000
```

## Properties
- magnetization (Bohr magnetons per cell) = 10.0
- final energy (eV per atom) = -5.06

Record 9
The following is a PBE with a Hubbard U calculation of a relaxed structure of CoNiF3, from the Alexandria database.

POSCAR file:
```
CoNiF3
1.0
-3.391 -1.998 0.661
1.353 -1.111 3.586
-1.612 3.271 1.621
Co F Ni
1 3 1
Direct
0.000 0.000 0.000
0.500 0.000 0.000
0.000 0.000 0.500
0.000 0.500 0.000
0.500 0.500 0.500
```

## Properties
- polymorph energy (0 for the lowest one) (eV per atom) = 0.371
- magnetization (Bohr magnetons per cell) = 4.0

Record 10
The following is a PBE with a Hubbard U calculation of a relaxed structure of CoNi3F8, from the Alexandria database.

POSCAR file:
```
CoNi3F8
1.0
5.416 -0.062 0.000
-2.595 4.755 0.000
0.000 0.000 6.040
F Co Ni
8 1 3
Direct
0.224 0.288 0.246
0.281 0.719 0.500
0.719 0.281 0.500
0.717 0.283 0.000
0.288 0.224 0.754
0.712 0.776 0.754
0.283 0.717 0.000
0.776 0.712 0.246
0.500 0.500 0.500
0.000 0.500 0.248
0.500 0.500 0.000
0.500 0.000 0.752
```

## Properties
- magnetization (Bohr magnetons per cell) = 9.0
- final energy (eV per atom) = -4.40

Record 11
The following is a PBE with a Hubbard U calculation of a relaxed structure of Co3NiF8, from the Alexandria database.

POSCAR file:
```
Co3NiF8
1.0
3.849 0.000 -1.133
-0.591 6.426 -2.007
-0.079 -0.017 6.835
F Co Ni
8 3 1
Direct
0.436 0.615 0.873
0.238 0.361 0.476
0.562 0.382 0.124
0.370 0.992 0.740
0.770 0.647 0.540
0.142 0.694 0.285
0.856 0.280 0.712
0.630 0.003 0.260
0.395 0.292 0.790
0.601 0.706 0.203
0.698 0.301 0.395
0.300 0.697 0.601
```

## Properties
- magnetization (Bohr magnetons per cell) = 11.0
- final energy (eV per atom) = -4.80

Record 12
The following is a PBE with a Hubbard U calculation of a relaxed structure of Co2NiF, from the Alexandria database.

POSCAR file:
```
Co2NiF
1.0
1.919 -3.072 1.621
-0.807 -1.101 3.726
-1.924 -3.401 0.691
Co F Ni
2 1 1
Direct
0.750 0.750 0.750
0.250 0.250 0.250
0.000 0.000 0.000
0.500 0.500 0.500
```

## Properties
- magnetization (Bohr magnetons per cell) = 4.8
- final energy (eV per atom) = -2.93

Record 13
The following is a PBE with a Hubbard U calculation of a relaxed structure of CoNi3F, from the Alexandria database.

POSCAR file:
```
CoNi3F
1.0
-3.929 -0.908 1.748
0.375 -4.174 -1.323
1.934 -1.034 3.809
Ni Co F
3 1 1
Direct
0.000 0.000 0.500
0.500 0.000 0.000
0.000 0.500 0.000
0.000 0.000 0.000
0.500 0.500 0.500
```

## Properties
- polymorph energy (0 for the lowest one) (eV per atom) = 0.887
- magnetization (Bohr magnetons per cell) = 4.5

Record 14
The following is a PBE with a Hubbard U calculation of a relaxed structure of CoNiF5, from the Alexandria database.

POSCAR file:
```
CoNiF5
1.0
-1.859 3.214 3.872
1.859 -3.214 3.872
1.859 3.214 -3.872
Co F Ni
1 5 1
Direct
0.000 0.000 0.000
0.000 0.500 0.500
0.242 0.242 0.000
0.308 0.000 0.308
0.758 0.758 0.000
0.692 0.000 0.692
0.500 0.500 0.000
```

## Properties
- magnetization (Bohr magnetons per cell) = 2.0
- final energy (eV per atom) = -4.24

Record 15
The following is a PBE with a Hubbard U calculation of a relaxed structure of CoNi3F, from the Alexandria database.

POSCAR file:
```
CoNi3F
1.0
4.047 0.000 0.000
0.000 4.047 0.000
0.000 0.000 4.047
Ni Co F
3 1 1
Direct
0.000 0.000 0.500
0.000 0.500 0.000
0.500 0.000 0.000
0.500 0.500 0.500
0.000 0.000 0.000
```

## Properties
- polymorph energy (0 for the lowest one) (eV per atom) = 0.000
- magnetization (Bohr magnetons per cell) = 4.7

Record 16
The following is a PBE with a Hubbard U calculation of a relaxed structure of Co3NiF, from the Alexandria database.

POSCAR file:
```
Co3NiF
1.0
4.045 0.000 0.000
0.000 4.045 0.000
0.000 0.000 4.045
Co F Ni
3 1 1
Direct
0.500 0.000 0.000
0.000 0.000 0.500
0.000 0.500 0.000
0.000 0.000 0.000
0.500 0.500 0.500
```

## Properties
- polymorph energy (0 for the lowest one) (eV per atom) = 0.000
- magnetization (Bohr magnetons per cell) = 6.2

Record 17
The following is a PBE with a Hubbard U calculation of a relaxed structure of Co3NiF, from the Alexandria database.

POSCAR file:
```
Co3NiF
1.0
4.396 0.000 0.000
0.000 4.396 0.000
0.000 0.000 4.396
Ni Co F
1 3 1
Direct
0.000 0.000 0.000
0.000 0.000 0.500
0.000 0.500 0.000
0.500 0.000 0.000
0.500 0.500 0.500
```

## Properties
- polymorph energy (0 for the lowest one) (eV per atom) = 0.261
- magnetization (Bohr magnetons per cell) = 7.0

Record 18
The following is a PBE with a Hubbard U calculation of a relaxed structure of CoNiF3, from the Alexandria database.

POSCAR file:
```
CoNiF3
1.0
3.989 0.000 0.000
0.000 3.989 0.000
0.000 0.000 3.989
F Ni Co
3 1 1
Direct
0.000 0.500 0.000
0.500 0.000 0.000
0.000 0.000 0.500
0.000 0.000 0.000
0.500 0.500 0.500
```

## Properties
- polymorph energy (0 for the lowest one) (eV per atom) = 0.000
- magnetization (Bohr magnetons per cell) = 4.6

Record 19
The following is a PBE with a Hubbard U calculation of a relaxed structure of CoNiOF2, from the Alexandria database.

POSCAR file:
```
CoNiOF2
1.0
3.821 0.000 0.000
0.000 3.821 0.000
0.000 0.000 3.938
F Ni Co O
2 1 1 1
Direct
0.500 0.000 0.000
0.000 0.500 0.000
0.000 0.000 0.000
0.500 0.500 0.500
0.000 0.000 0.500
```

## Properties
- polymorph energy (0 for the lowest one) (eV per atom) = 0.044
- magnetization (Bohr magnetons per cell) = 4.2

Record 20
The following is a PBE with a Hubbard U calculation of a relaxed structure of CoNiO2F, from the Alexandria database.

POSCAR file:
```
CoNiO2F
1.0
3.753 0.000 0.000
0.000 3.753 0.000
0.000 0.000 3.801
O Co F Ni
2 1 1 1
Direct
0.000 0.500 0.000
0.500 0.000 0.000
0.000 0.000 0.000
0.000 0.000 0.500
0.500 0.500 0.500
```

## Properties
- magnetization (Bohr magnetons per cell) = 0.3
- final energy (eV per atom) = -4.45

Record 21
The following is a PBE with a Hubbard U calculation of a relaxed structure of CoNiO2F, from the Alexandria database.

POSCAR file:
```
CoNiO2F
1.0
3.762 0.000 0.000
0.000 3.762 0.000
0.000 0.000 3.796
O Ni F Co
2 1 1 1
Direct
0.000 0.500 0.000
0.500 0.000 0.000
0.000 0.000 0.000
0.000 0.000 0.500
0.500 0.500 0.500
```

## Properties
- magnetization (Bohr magnetons per cell) = 4.1
- final energy (eV per atom) = -4.48

Record 22
The following is a PBE with a Hubbard U calculation of a relaxed structure of CoNiOF2, from the Alexandria database.

POSCAR file:
```
CoNiOF2
1.0
-4.018 -0.247 -0.117
0.092 -2.838 2.856
-0.236 2.606 2.597
F Co Ni O
2 1 1 1
Direct
0.000 0.500 0.000
0.500 0.000 0.000
0.000 0.000 0.000
0.500 0.500 0.500
0.000 0.000 0.500
```

## Properties
- polymorph energy (0 for the lowest one) (eV per atom) = 0.000
- magnetization (Bohr magnetons per cell) = 2.6

Record 23
The following is a PBE with a Hubbard U calculation of a relaxed structure of Co2NiOsF, from the Alexandria database.

POSCAR file:
```
Co2NiOsF
1.0
3.947 0.000 0.000
0.000 4.334 0.000
0.000 0.000 3.947
Co Ni F Os
2 1 1 1
Direct
0.500 0.000 0.000
0.000 0.000 0.500
0.500 0.500 0.500
0.000 0.000 0.000
0.000 0.500 0.000
```

## Properties
- magnetization (Bohr magnetons per cell) = 6.8
- final energy (eV per atom) = -4.05

Record 24
The following is a PBE with a Hubbard U calculation of a relaxed structure of CoNiPdF6, from the Alexandria database.

POSCAR file:
```
CoNiPdF6
1.0
5.318 0.000 0.000
-2.659 4.605 0.000
0.000 0.000 9.226
F Ni Co Pd
12 2 2 2
Direct
0.348 0.352 0.367
0.652 0.648 0.633
0.648 0.652 0.133
0.348 0.996 0.133
0.652 0.004 0.867
0.004 0.652 0.367
0.352 0.004 0.633
0.004 0.352 0.133
0.648 0.996 0.367
0.996 0.648 0.867
0.352 0.348 0.867
0.996 0.348 0.633
0.667 0.333 0.750
0.333 0.667 0.250
0.333 0.667 0.750
0.667 0.333 0.250
0.000 0.000 0.500
0.000 0.000 0.000
```

## Properties
- magnetization (Bohr magnetons per cell) = 13.9
- final energy (eV per atom) = -4.45